{"formula": "Li2CoNiF6", "functional": "GGA+U", "state": "optimized geometry", "m_tot_mub_per_cell": 5.0, "total_energy_ev_per_atom": -4.74, "cell": [[-5.0549, -0.9389, -0.0299], [-2.1260, -2.7750, 3.7691], [-3.1277, 2.6518, 3.6945]], "species": ["Ni", "Co", "Li", "Li", "F", "F", "F", "F", "F", "F"], "fractional_positions": [[0.8192, 0.8193, 0.5421], [0.3167, 0.3167, 0.0498], [0.0245, 0.0241, 0.9273], [0.5227, 0.5231, 0.4320], [0.4214, 0.7204, 0.7590], [0.7203, 0.0986, 0.7600], [0.0988, 0.4210, 0.7596], [0.9149, 0.6044, 0.2618], [0.2189, 0.9146, 0.2616], [0.6042, 0.2194, 0.2620]]}